#one
# ZrTe2F

A relaxed ZrTe2F crystal (GGA-PBE, the Alexandria database).

- V (Å³/cell) = 348.9

a b c (Å): 7.040 7.040 7.040
angles (deg): 90.00 90.00 90.00
Space group Fm-3m (No. 225)
Symmetry-distinct sites (fractional):
Zr: 0.000 0.000 0.000 (multiplicity 4)
Te: 0.250 0.250 0.250 (multiplicity 8)
F: 0.000 0.000 0.500 (multiplicity 4)

#two
# ZrTe2F

A relaxed ZrTe2F crystal (GGA-PBE, the Alexandria database).

- V (Å³/cell) = 343.1

a b c (Å): 4.0407 4.0407 24.2643
angles (deg): 90.00 90.00 120.00
Space group R-3m (No. 166, hexagonal axes)
Symmetry-distinct sites (fractional):
Zr: 0.0000 0.0000 0.0000 (multiplicity 3)
Te: 0.0000 0.0000 0.4044 (multiplicity 6)
F: 0.0000 0.0000 0.5000 (multiplicity 3)

The data favor #two; the next most stable structure lies 0.095 eV/atom above it.

#one
# ZrTe2F

A relaxed ZrTe2F crystal (GGA-PBE, the Alexandria database).

- V (Å³/cell) = 271.1

a b c (Å): 3.2042 3.2042 30.4859
angles (deg): 90.00 90.00 120.00
Space group R-3m (No. 166, hexagonal axes)
Symmetry-distinct sites (fractional):
Zr: 0.0000 0.0000 0.0000 (multiplicity 3)
Te: 0.0000 0.0000 0.0971 (multiplicity 6)
F: 0.0000 0.0000 0.5000 (multiplicity 3)

#two
# ZrTe2F

A relaxed ZrTe2F crystal (GGA-PBE, the Alexandria database).

- V (Å³/cell) = 502.0

a b c (Å): 6.178 6.178 13.151
angles (deg): 90.00 90.00 90.00
Space group I-42d (No. 122)
Symmetry-distinct sites (fractional):
Zr: 0.000 0.000 0.000 (multiplicity 4)
Te: 0.238 0.250 0.625 (multiplicity 8)
F: 0.000 0.000 0.500 (multiplicity 4)

The data favor #two; the next most stable structure lies 0.401 eV/atom above it.

#one
# TiF

A relaxed TiF crystal (GGA-PBE, the Alexandria database).

- V (Å³/cell) = 58.3

a b c (Å): 2.923 5.079 3.926
angles (deg): 90.00 90.00 90.00
Space group Cmmm (No. 65)
Symmetry-distinct sites (fractional):
Ti: 0.000 0.000 0.000 (multiplicity 2)
F: 0.000 0.000 0.500 (multiplicity 2)

#two
# TiF

A relaxed TiF crystal (GGA-PBE, the Alexandria database).

- V (Å³/cell) = 77.1

a b c (Å): 2.8568 2.8568 10.9127
angles (deg): 90.00 90.00 120.00
Space group R3m (No. 160, hexagonal axes)
Symmetry-distinct sites (fractional):
Ti: 0.0000 0.0000 0.0000 (multiplicity 3)
F: 0.0000 0.0000 0.1970 (multiplicity 3)

#three
# TiF

A relaxed TiF crystal (GGA-PBE, the Alexandria database).

- V (Å³/cell) = 237.5

a b c (Å): 8.787 8.787 3.076
angles (deg): 90.00 90.00 90.00
Space group P4/m (No. 83)
Symmetry-distinct sites (fractional):
Ti: 0.067 0.355 0.000 (multiplicity 4)
Ti: 0.170 0.617 0.500 (multiplicity 4)
F: 0.146 0.798 0.000 (multiplicity 4)
F: 0.257 0.393 0.500 (multiplicity 4)

The data favor #three; the next most stable structure lies 0.126 eV/atom above it.

#one
# TiF

A relaxed TiF crystal (GGA-PBE, the Alexandria database).

- V (Å³/cell) = 52.8

a b c (Å): 4.210 3.037 4.385
angles (deg): 90.00 109.70 90.00
Space group P2_1/m (No. 11)
Symmetry-distinct sites (fractional):
Ti: 0.194 0.250 0.390 (multiplicity 2)
F: 0.176 0.250 0.884 (multiplicity 2)

#two
# TiF

A relaxed TiF crystal (GGA-PBE, the Alexandria database).

- V (Å³/cell) = 166.8

a b c (Å): 7.8017 7.8017 3.1645
angles (deg): 90.00 90.00 120.00
Space group P6_3/m (No. 176)
Symmetry-distinct sites (fractional):
Ti: 0.1656 0.7177 0.2500 (multiplicity 6)
F: 0.0309 0.7668 0.7500 (multiplicity 6)

#three
# TiF

A relaxed TiF crystal (GGA-PBE, the Alexandria database).

- V (Å³/cell) = 304.3

a b c (Å): 6.726 6.726 6.726
angles (deg): 90.00 90.00 90.00
Space group I-43m (No. 217)
Symmetry-distinct sites (fractional):
Ti: 0.141 0.141 0.859 (multiplicity 8)
F: 0.176 0.176 0.176 (multiplicity 8)

#four
# TiF

A relaxed TiF crystal (GGA-PBE, the Alexandria database).

- V (Å³/cell) = 113.9

a b c (Å): 5.089 2.957 7.567
angles (deg): 90.00 90.42 90.00
Space group Cm (No. 8)
Symmetry-distinct sites (fractional):
Ti: 0.000 0.000 0.000 (multiplicity 2)
Ti: 0.167 0.500 0.290 (multiplicity 2)
F: 0.004 0.000 0.460 (multiplicity 2)
F: 0.332 0.000 0.836 (multiplicity 2)

The data favor #four; the next most stable structure lies 0.323 eV/atom above it.